[1]
{
  "formula": "BaIr3Au",
  "functional": "PBE",
  "state": "relaxed",
  "energy_ry_per_atom": -0.36826,
  "n_ef_per_ev_cell": 10.95,
  "lattice": [[-0.757, -3.365, -3.641], [4.854, -1.254, 0.149], [-1.011, -3.501, 3.446]],
  "species": ["Ir", "Ir", "Ir", "Au", "Ba"],
  "fractional_positions": [[0.000, 0.500, 0.000], [0.000, 0.000, 0.500], [0.500, 0.000, 0.000], [0.000, 0.000, 0.000], [0.500, 0.500, 0.500]]
}


[2]
{
  "formula": "BaIrAu4",
  "functional": "PBE",
  "state": "relaxed",
  "energy_ry_per_atom": -0.28580,
  "n_ef_per_ev_cell": 4.26,
  "lattice": [[-0.091, -4.704, 3.141], [-3.801, -0.555, 4.153], [-4.263, -3.681, -0.540]],
  "species": ["Ba", "Ir", "Au", "Au", "Au", "Au"],
  "fractional_positions": [[0.750, 0.750, 0.750], [0.000, 0.000, 0.000], [0.878, 0.374, 0.374], [0.374, 0.374, 0.878], [0.374, 0.878, 0.374], [0.374, 0.374, 0.374]]
}


[3]
{
  "formula": "Ba8Ir2Au",
  "functional": "PBE",
  "state": "relaxed",
  "energy_ry_per_atom": -0.25724,
  "n_ef_per_ev_cell": 7.38,
  "lattice": [[-5.900, -0.273, -3.065], [-1.051, -8.436, 3.420], [-2.911, 9.731, 4.742]],
  "species": ["Ir", "Ir", "Au", "Ba", "Ba", "Ba", "Ba", "Ba", "Ba", "Ba", "Ba"],
  "fractional_positions": [[0.248, 0.231, 0.615], [0.752, 0.769, 0.385], [0.000, 0.000, 0.000], [0.251, 0.794, 0.397], [0.749, 0.206, 0.603], [0.761, 0.777, 0.121], [0.239, 0.223, 0.344], [0.268, 0.639, 0.820], [0.239, 0.223, 0.879], [0.761, 0.777, 0.656], [0.732, 0.361, 0.180]]
}